# 1
Below is crystalline TmThZn4 at its relaxed geometry, with properties calculated at the GGA-PBE level.

Results
Spin magnetization: 0.00 Bohr magnetons per cell
E_form: -155 kJ/mol of formula units
Relative energy among the computed polymorphs: 0 meV/atom
Uncorrected energy: -3.10 eV per atom
Symmetry: F-43m, No. 216
DOS at the Fermi energy: 0.72 states/eV per atom

CIF file:
```
data_TmThZn4
_cell_length_a 5.4979
_cell_length_b 5.4979
_cell_length_c 5.4979
_cell_angle_alpha 60.00
_cell_angle_beta 60.00
_cell_angle_gamma 60.00
_symmetry_space_group_name_H-M 'P 1'
_symmetry_Int_Tables_number 1
loop_
_symmetry_equiv_pos_as_xyz
'x,y,z'
loop_
_atom_site_label
_atom_site_fract_x
_atom_site_fract_y
_atom_site_fract_z
_atom_site_occupancy
Zn1 0.6261 0.6261 0.1217 1
Zn2 0.6261 0.1217 0.6261 1
Zn3 0.6261 0.6261 0.6261 1
Zn4 0.1217 0.6261 0.6261 1
Tm1 0.0000 0.0000 0.0000 1
Th1 0.2500 0.2500 0.2500 1
```

---

# 2
Below is crystalline TmTh3Zn4 at its relaxed geometry, with properties calculated at the GGA-PBE level.

Results
Spin magnetization: 0.00 Bohr magnetons per cell
E_form: -158 kJ/mol of formula units
Uncorrected energy: -4.18 eV per atom
Symmetry: R-3m, No. 166
DOS at the Fermi energy: 1.07 states/eV per atom

CIF file:
```
data_TmTh3Zn4
_cell_length_a 5.1345
_cell_length_b 5.1345
_cell_length_c 8.9260
_cell_angle_alpha 73.28
_cell_angle_beta 73.28
_cell_angle_gamma 60.00
_symmetry_space_group_name_H-M 'P 1'
_symmetry_Int_Tables_number 1
loop_
_symmetry_equiv_pos_as_xyz
'x,y,z'
loop_
_atom_site_label
_atom_site_fract_x
_atom_site_fract_y
_atom_site_fract_z
_atom_site_occupancy
Zn1 0.8780 0.8780 0.3661 1
Zn2 0.3722 0.3722 0.8834 1
Zn3 0.1220 0.1220 0.6339 1
Zn4 0.6278 0.6278 0.1166 1
Tm1 0.0000 0.0000 0.0000 1
Th1 0.2494 0.2494 0.2517 1
Th2 0.7506 0.7506 0.7483 1
Th3 0.5000 0.5000 0.5000 1
```

---

# 3
Below is crystalline Tm2ThZn3 at its relaxed geometry, with properties calculated at the GGA-PBE level.

Results
Spin magnetization: 0.00 Bohr magnetons per cell
E_form: -158 kJ/mol of formula units
Relative energy among the computed polymorphs: 11 meV/atom
Uncorrected energy: -3.64 eV per atom
Symmetry: P-3m1, No. 164
DOS at the Fermi energy: 1.17 states/eV per atom

CIF file:
```
data_Tm2ThZn3
_cell_length_a 5.0681
_cell_length_b 5.0681
_cell_length_c 6.1798
_cell_angle_alpha 90.00
_cell_angle_beta 90.00
_cell_angle_gamma 120.00
_symmetry_space_group_name_H-M 'P 1'
_symmetry_Int_Tables_number 1
loop_
_symmetry_equiv_pos_as_xyz
'x,y,z'
loop_
_atom_site_label
_atom_site_fract_x
_atom_site_fract_y
_atom_site_fract_z
_atom_site_occupancy
Tm1 0.6667 0.3333 0.3423 1
Tm2 0.3333 0.6667 0.6577 1
Th1 0.0000 0.0000 0.0000 1
Zn1 0.0000 0.0000 0.5000 1
Zn2 0.6667 0.3333 0.8336 1
Zn3 0.3333 0.6667 0.1664 1
```

---

# 4
Below is crystalline Tm2ThZn9 at its relaxed geometry, with properties calculated at the GGA-PBE level.

Results
Spin magnetization: 0.00 Bohr magnetons per cell
E_form: -342 kJ/mol of formula units
Uncorrected energy: -2.61 eV per atom
Symmetry: R-3m, No. 166
DOS at the Fermi energy: 0.60 states/eV per atom

CIF file:
```
data_Tm2ThZn9
_cell_length_a 5.4299
_cell_length_b 5.4299
_cell_length_c 9.1633
_cell_angle_alpha 72.77
_cell_angle_beta 72.77
_cell_angle_gamma 60.00
_symmetry_space_group_name_H-M 'P 1'
_symmetry_Int_Tables_number 1
loop_
_symmetry_equiv_pos_as_xyz
'x,y,z'
loop_
_atom_site_label
_atom_site_fract_x
_atom_site_fract_y
_atom_site_fract_z
_atom_site_occupancy
Tm1 0.8584 0.8584 0.4247 1
Tm2 0.1416 0.1416 0.5753 1
Th1 0.0000 0.0000 0.0000 1
Zn1 0.6648 0.6648 0.0055 1
Zn2 0.3352 0.3352 0.9945 1
Zn3 0.5000 0.5000 0.5000 1
Zn4 0.4128 0.4128 0.2516 1
Zn5 0.9229 0.4128 0.2516 1
Zn6 0.4128 0.9229 0.2516 1
Zn7 0.5872 0.5872 0.7484 1
Zn8 0.5872 0.0771 0.7484 1
Zn9 0.0771 0.5872 0.7484 1
```

---

# 5
Below is crystalline TmThZn10 at its relaxed geometry, with properties calculated at the GGA-PBE level.

Results
Spin magnetization: 0.00 Bohr magnetons per cell
E_form: -279 kJ/mol of formula units
Uncorrected energy: -2.29 eV per atom
Symmetry: Pmmm, No. 47
DOS at the Fermi energy: 0.22 states/eV per atom

CIF file:
```
data_TmThZn10
_cell_length_a 4.2218
_cell_length_b 5.3589
_cell_length_c 9.2223
_cell_angle_alpha 90.00
_cell_angle_beta 90.00
_cell_angle_gamma 90.00
_symmetry_space_group_name_H-M 'P 1'
_symmetry_Int_Tables_number 1
loop_
_symmetry_equiv_pos_as_xyz
'x,y,z'
loop_
_atom_site_label
_atom_site_fract_x
_atom_site_fract_y
_atom_site_fract_z
_atom_site_occupancy
Tm1 0.0000 0.0000 0.0000 1
Th1 0.0000 0.5000 0.5000 1
Zn1 0.0000 0.0000 0.3248 1
Zn2 0.0000 0.5000 0.8411 1
Zn3 0.0000 0.5000 0.1589 1
Zn4 0.0000 0.0000 0.6752 1
Zn5 0.5000 0.0000 0.5000 1
Zn6 0.5000 0.5000 0.0000 1
Zn7 0.5000 0.2514 0.2488 1
Zn8 0.5000 0.7486 0.7512 1
Zn9 0.5000 0.7486 0.2488 1
Zn10 0.5000 0.2514 0.7512 1
```

---

# 6
Below is crystalline Tm2ThZn at its relaxed geometry, with properties calculated at the GGA-PBE level.

Results
Spin magnetization: 0.00 Bohr magnetons per cell
E_form: -64 kJ/mol of formula units
Relative energy among the computed polymorphs: 0 meV/atom
Uncorrected energy: -4.57 eV per atom
Symmetry: P4/mmm, No. 123
DOS at the Fermi energy: 1.46 states/eV per atom

CIF file:
```
data_Tm2ThZn
_cell_length_a 3.5199
_cell_length_b 3.5199
_cell_length_c 8.5318
_cell_angle_alpha 90.00
_cell_angle_beta 90.00
_cell_angle_gamma 90.00
_symmetry_space_group_name_H-M 'P 1'
_symmetry_Int_Tables_number 1
loop_
_symmetry_equiv_pos_as_xyz
'x,y,z'
loop_
_atom_site_label
_atom_site_fract_x
_atom_site_fract_y
_atom_site_fract_z
_atom_site_occupancy
Zn1 0.5000 0.5000 0.0000 1
Tm1 0.0000 0.0000 0.7914 1
Tm2 0.0000 0.0000 0.2086 1
Th1 0.5000 0.5000 0.5000 1
```

---

# 7
Below is crystalline TmTh2Zn4 at its relaxed geometry, with properties calculated at the GGA-PBE level.

Results
Spin magnetization: 0.00 Bohr magnetons per cell
E_form: -30 kJ/mol of formula units
Uncorrected energy: -3.53 eV per atom
Symmetry: I4/mmm, No. 139
DOS at the Fermi energy: 0.90 states/eV per atom

CIF file:
```
data_TmTh2Zn4
_cell_length_a 5.0371
_cell_length_b 5.0371
_cell_length_c 7.6480
_cell_angle_alpha 109.23
_cell_angle_beta 109.23
_cell_angle_gamma 90.00
_symmetry_space_group_name_H-M 'P 1'
_symmetry_Int_Tables_number 1
loop_
_symmetry_equiv_pos_as_xyz
'x,y,z'
loop_
_atom_site_label
_atom_site_fract_x
_atom_site_fract_y
_atom_site_fract_z
_atom_site_occupancy
Tm1 0.0000 0.0000 0.0000 1
Th1 0.7367 0.7367 0.4735 1
Th2 0.2633 0.2633 0.5265 1
Zn1 0.3957 0.8957 0.7915 1
Zn2 0.8957 0.3957 0.7915 1
Zn3 0.6043 0.1043 0.2085 1
Zn4 0.1043 0.6043 0.2085 1
```

---

# 8
Below is crystalline Tm2ThZn4 at its relaxed geometry, with properties calculated at the GGA-PBE level.

Results
Spin magnetization: 0.00 Bohr magnetons per cell
E_form: -46 kJ/mol of formula units
Uncorrected energy: -3.13 eV per atom
Symmetry: I4/mmm, No. 139
DOS at the Fermi energy: 0.77 states/eV per atom

CIF file:
```
data_Tm2ThZn4
_cell_length_a 5.1844
_cell_length_b 5.1844
_cell_length_c 7.2734
_cell_angle_alpha 110.88
_cell_angle_beta 110.88
_cell_angle_gamma 90.00
_symmetry_space_group_name_H-M 'P 1'
_symmetry_Int_Tables_number 1
loop_
_symmetry_equiv_pos_as_xyz
'x,y,z'
loop_
_atom_site_label
_atom_site_fract_x
_atom_site_fract_y
_atom_site_fract_z
_atom_site_occupancy
Tm1 0.7271 0.7271 0.4543 1
Tm2 0.2729 0.2729 0.5457 1
Th1 0.0000 0.0000 0.0000 1
Zn1 0.3806 0.8806 0.7612 1
Zn2 0.8806 0.3806 0.7612 1
Zn3 0.6194 0.1194 0.2388 1
Zn4 0.1194 0.6194 0.2388 1
```

---

# 9
Below is crystalline Tm2ThZn3 at its relaxed geometry, with properties calculated at the GGA-PBE level.

Results
Spin magnetization: 0.00 Bohr magnetons per cell
E_form: -165 kJ/mol of formula units
Relative energy among the computed polymorphs: 0 meV/atom
Uncorrected energy: -3.65 eV per atom
Symmetry: P4/mmm, No. 123
DOS at the Fermi energy: 1.09 states/eV per atom

CIF file:
```
data_Tm2ThZn3
_cell_length_a 3.5340
_cell_length_b 3.5340
_cell_length_c 10.9079
_cell_angle_alpha 90.00
_cell_angle_beta 90.00
_cell_angle_gamma 90.00
_symmetry_space_group_name_H-M 'P 1'
_symmetry_Int_Tables_number 1
loop_
_symmetry_equiv_pos_as_xyz
'x,y,z'
loop_
_atom_site_label
_atom_site_fract_x
_atom_site_fract_y
_atom_site_fract_z
_atom_site_occupancy
Tm1 0.5000 0.5000 0.8395 1
Tm2 0.5000 0.5000 0.1605 1
Th1 0.5000 0.5000 0.5000 1
Zn1 0.0000 0.0000 0.0000 1
Zn2 0.0000 0.0000 0.6852 1
Zn3 0.0000 0.0000 0.3148 1
```

---

# 10
Below is crystalline TmThZn2 at its relaxed geometry, with properties calculated at the GGA-PBE level.

Results
Spin magnetization: 0.00 Bohr magnetons per cell
E_form: -96 kJ/mol of formula units
Uncorrected energy: -3.86 eV per atom
Symmetry: Pmma, No. 51
DOS at the Fermi energy: 0.93 states/eV per atom

CIF file:
```
data_TmThZn2
_cell_length_a 3.5804
_cell_length_b 5.0567
_cell_length_c 10.2615
_cell_angle_alpha 90.00
_cell_angle_beta 90.00
_cell_angle_gamma 90.00
_symmetry_space_group_name_H-M 'P 1'
_symmetry_Int_Tables_number 1
loop_
_symmetry_equiv_pos_as_xyz
'x,y,z'
loop_
_atom_site_label
_atom_site_fract_x
_atom_site_fract_y
_atom_site_fract_z
_atom_site_occupancy
Tm1 0.5000 0.2500 0.8812 1
Tm2 0.5000 0.7500 0.1188 1
Th1 0.5000 0.2500 0.3790 1
Th2 0.5000 0.7500 0.6210 1
Zn1 0.0000 0.2500 0.1205 1
Zn2 0.0000 0.7500 0.8795 1
Zn3 0.0000 0.2500 0.6457 1
Zn4 0.0000 0.7500 0.3543 1
```

---

# 11
Below is crystalline TmThZn4 at its relaxed geometry, with properties calculated at the GGA-PBE level.

Results
Spin magnetization: 0.00 Bohr magnetons per cell
E_form: -136 kJ/mol of formula units
Relative energy among the computed polymorphs: 32 meV/atom
Uncorrected energy: -3.07 eV per atom
Symmetry: I-4m2, No. 119
DOS at the Fermi energy: 1.19 states/eV per atom

CIF file:
```
data_TmThZn4
_cell_length_a 4.1263
_cell_length_b 4.1263
_cell_length_c 8.1187
_cell_angle_alpha 104.72
_cell_angle_beta 104.72
_cell_angle_gamma 90.00
_symmetry_space_group_name_H-M 'P 1'
_symmetry_Int_Tables_number 1
loop_
_symmetry_equiv_pos_as_xyz
'x,y,z'
loop_
_atom_site_label
_atom_site_fract_x
_atom_site_fract_y
_atom_site_fract_z
_atom_site_occupancy
Tm1 0.2500 0.7500 0.5000 1
Th1 0.0000 0.0000 0.0000 1
Zn1 0.6700 0.1700 0.3400 1
Zn2 0.5838 0.5838 0.1676 1
Zn3 0.8300 0.3300 0.6600 1
Zn4 0.4162 0.4162 0.8324 1
```

---

# 12
Below is crystalline TmThZn6 at its relaxed geometry, with properties calculated at the GGA-PBE level.

Results
Spin magnetization: 0.00 Bohr magnetons per cell
E_form: -207 kJ/mol of formula units
Uncorrected energy: -2.71 eV per atom
Symmetry: Pmm2, No. 25
DOS at the Fermi energy: 0.63 states/eV per atom

CIF file:
```
data_TmThZn6
_cell_length_a 4.2783
_cell_length_b 6.0267
_cell_length_c 5.9881
_cell_angle_alpha 90.00
_cell_angle_beta 90.00
_cell_angle_gamma 90.00
_symmetry_space_group_name_H-M 'P 1'
_symmetry_Int_Tables_number 1
loop_
_symmetry_equiv_pos_as_xyz
'x,y,z'
loop_
_atom_site_label
_atom_site_fract_x
_atom_site_fract_y
_atom_site_fract_z
_atom_site_occupancy
Tm1 0.5000 0.4027 0.5000 1
Th1 0.0000 0.6033 0.0000 1
Zn1 0.5000 0.8708 0.2675 1
Zn2 0.0000 0.1355 0.7449 1
Zn3 0.0000 0.1355 0.2551 1
Zn4 0.5000 0.8708 0.7325 1
Zn5 0.0000 0.7648 0.5000 1
Zn6 0.5000 0.2167 0.0000 1
```